[1]
RbHoBr4 | PBE | optimized geometry

Calculated values
Fermi-level density of states	0.00	states/eV/cell
energy above the most stable polymorph in this dataset	0.039	eV per atom
total magnetic moment	0.000	μB per atom
formation energy from raw total energies	-1.81	eV per atom
electronic total energy	-3.852	eV per atom

Cell: 7.045 7.801 9.274 Å, 75.66 67.80 89.99°
Space group P-1 (No. 2)
Symmetry-distinct sites (fractional):
Rb: 0.208 0.251 0.498 (multiplicity 2)
Ho: 0.000 0.500 0.000 (multiplicity 1)
Ho: 0.500 0.000 0.000 (multiplicity 1)
Br: 0.125 0.161 0.111 (multiplicity 2)
Br: 0.265 0.661 0.111 (multiplicity 2)
Br: 0.286 0.552 0.694 (multiplicity 2)
Br: 0.482 0.948 0.306 (multiplicity 2)

=====

[2]
Pm4Te4Pb | PBE | optimized geometry

Calculated values
Fermi-level density of states	8.40	states/eV/cell
total magnetic moment	0.000	μB per atom
formation energy from raw total energies	-1.19	eV per atom
electronic total energy	-5.110	eV per atom

Cell: 9.995 9.995 6.279 Å, 90.00 90.00 90.00°
Space group I4/m (No. 87)
Symmetry-distinct sites (fractional):
Pm: 0.096 0.303 0.000 (multiplicity 8)
Te: 0.098 0.290 0.500 (multiplicity 8)
Pb: 0.000 0.000 0.000 (multiplicity 2)

=====

[3]
AgHg2Os | PBE | optimized geometry

Calculated values
Fermi-level density of states	2.58	states/eV/cell
energy above the most stable polymorph in this dataset	0.112	eV per atom
total magnetic moment	0.000	μB per atom
electronic total energy	-2.977	eV per atom
calculated formation energy	0.69	eV per atom

Cell: 2.849 4.228 6.128 Å, 90.00 90.15 90.00°
Space group P2/m (No. 10)
Symmetry-distinct sites (fractional):
Ag: 0.000 0.000 0.000 (multiplicity 1)
Hg: 0.500 0.500 0.258 (multiplicity 2)
Os: 0.000 0.000 0.500 (multiplicity 1)

=====

[4]
KMnSi2 | PBE | optimized geometry

Calculated values
Fermi-level density of states	3.73	states/eV/cell
energy above the most stable polymorph in this dataset	0.665	eV per atom
total magnetic moment	0.868	μB per atom
formation energy from raw total energies	0.74	eV per atom
electronic total energy	-4.537	eV per atom

Cell: 4.496 4.496 7.599 Å, 90.00 90.00 90.00°
Space group I4/mmm (No. 139)
Symmetry-distinct sites (fractional):
K: 0.000 0.000 0.000 (multiplicity 2)
Mn: 0.000 0.000 0.500 (multiplicity 2)
Si: 0.000 0.500 0.250 (multiplicity 4)

=====

[5]
SnPdBr2 | PBE | optimized geometry

Calculated values
Fermi-level density of states	0.00	states/eV/cell
energy above the most stable polymorph in this dataset	0.014	eV per atom
total magnetic moment	0.000	μB per atom
formation energy from raw total energies	-0.09	eV per atom
electronic total energy	-3.221	eV per atom

Cell: 7.240 7.240 7.240 Å, 90.00 90.00 90.00°
Space group Fm-3m (No. 225)
Symmetry-distinct sites (fractional):
Sn: 0.000 0.000 0.000 (multiplicity 4)
Pd: 0.000 0.000 0.500 (multiplicity 4)
Br: 0.250 0.250 0.250 (multiplicity 8)

=====

[6]
Th6InHg | PBE | optimized geometry

Calculated values
Fermi-level density of states	40.25	states/eV/cell
energy above the most stable polymorph in this dataset	0.000	eV per atom
total magnetic moment	0.000	μB per atom
electronic total energy	-6.044	eV per atom
calculated formation energy	-0.10	eV per atom

Cell: 7.209 9.125 14.639 Å, 90.00 90.00 90.00°
Space group Fmmm (No. 69)
Symmetry-distinct sites (fractional):
Th: 0.000 0.000 0.248 (multiplicity 8)
Th: 0.250 0.250 0.119 (multiplicity 16)
In: 0.000 0.000 0.000 (multiplicity 4)
Hg: 0.000 0.000 0.500 (multiplicity 4)

=====

[7]
H2Pd7Pb2 | PBE | optimized geometry

Calculated values
Fermi-level density of states	7.72	states/eV/cell
total magnetic moment	0.000	μB per atom
electronic total energy	-4.714	eV per atom

Cell: 7.182 8.336 5.633 Å, 90.00 98.41 90.00°
Space group C2/m (No. 12)
Symmetry-distinct sites (fractional):
H: 0.241 0.000 0.468 (multiplicity 4)
Pd: 0.000 0.500 0.500 (multiplicity 2)
Pd: 0.168 0.165 0.660 (multiplicity 8)
Pd: 0.177 0.000 0.148 (multiplicity 4)
Pb: 0.000 0.310 0.000 (multiplicity 4)

=====

[8]
Pm2Ni3Sn5 | PBE | optimized geometry

Calculated values
Fermi-level density of states	11.38	states/eV/cell
energy above the most stable polymorph in this dataset	0.000	eV per atom
total magnetic moment	0.000	μB per atom
electronic total energy	-5.188	eV per atom
calculated formation energy	-0.50	eV per atom

Cell: 10.505 12.666 6.409 Å, 90.00 90.00 90.00°
Space group Ibam (No. 72)
Symmetry-distinct sites (fractional):
Pm: 0.234 0.145 0.000 (multiplicity 8)
Ni: 0.000 0.500 0.250 (multiplicity 4)
Ni: 0.104 0.138 0.500 (multiplicity 8)
Sn: 0.000 0.000 0.250 (multiplicity 4)
Sn: 0.000 0.271 0.250 (multiplicity 8)
Sn: 0.168 0.413 0.000 (multiplicity 8)